1.
# SmEuZn2 GGA-PBE optimized geometry
# volume = 101.08 Å³/f.u.
# mass density = 7116 kg/m3
# E = -4.68 eV per atom
data_SmEuZn2
_chemical_formula_sum 'Sm1 Eu1 Zn2'
_space_group_name_H-M_alt 'P 4/m m m'
_space_group_IT_number 123
_space_group_name_Hall '-P 4 2'
_cell_length_a 3.697
_cell_length_b 3.697
_cell_length_c 7.396
_cell_angle_alpha 90.00
_cell_angle_beta 90.00
_cell_angle_gamma 90.00
loop_
_atom_site_label
_atom_site_type_symbol
_atom_site_fract_x
_atom_site_fract_y
_atom_site_fract_z
Sm1 Sm 0.000 0.000 0.000
Eu1 Eu 0.000 0.000 0.500
Zn1 Zn 0.500 0.500 0.233

2.
# CdInFe3 GGA-PBE optimized geometry
# volume = 110.07 Å³/f.u.
# mass density = 5956 kg/m3
# E = -4.39 eV per atom
data_CdInFe3
_chemical_formula_sum 'Cd1 In1 Fe3'
_space_group_name_H-M_alt 'P m -3 m'
_space_group_IT_number 221
_space_group_name_Hall '-P 4 2 3'
_cell_length_a 4.792
_cell_length_b 4.792
_cell_length_c 4.792
_cell_angle_alpha 90.00
_cell_angle_beta 90.00
_cell_angle_gamma 90.00
loop_
_atom_site_label
_atom_site_type_symbol
_atom_site_fract_x
_atom_site_fract_y
_atom_site_fract_z
Cd1 Cd 0.000 0.000 0.000
In1 In 0.500 0.500 0.500
Fe1 Fe 0.000 0.000 0.500

Per-record formation energy from the elements, meV/atom: -290 1414